[1]
! NpAgW GGA-PBE optimized geometry; values from VASP
! Size of the total moment: 0.10 μB per atom
! E above lowest polymorph: 0.0 kJ/mol of formula units
! E_form: 1390 meV/atom
&SYSTEM
  ibrav = 0, nat = 3, ntyp = 3
/
ATOMIC_SPECIES
Ag 107.87 Ag.upf
Np 237.00 Np.upf
W 183.84 W.upf
ATOMIC_POSITIONS angstrom
Ag 0.000 0.000 0.000
Np 3.197 3.197 3.197
W 1.598 1.598 1.598
CELL_PARAMETERS angstrom
0.000 3.197 3.197
3.197 0.000 3.197
3.197 3.197 0.000


[2]
! KDyCo GGA-PBE optimized geometry; values from VASP
! Size of the total moment: 0.15 μB per atom
! E above lowest polymorph: 0.0 kJ/mol of formula units
&SYSTEM
  ibrav = 0, nat = 3, ntyp = 3
/
ATOMIC_SPECIES
Co 58.93 Co.upf
K 39.10 K.upf
Dy 162.50 Dy.upf
ATOMIC_POSITIONS angstrom
Co 0.000 0.000 0.000
K -5.868 -5.134 4.491
Dy -1.956 -1.711 1.497
CELL_PARAMETERS angstrom
-0.716 -2.633 4.067
-4.426 -0.118 2.093
-2.682 -4.094 -0.173


[3]
! Cd2TcHg GGA-PBE optimized geometry; values from VASP
! Size of the total moment: 0.46 μB per atom
! E_form: 532 meV/atom
&SYSTEM
  ibrav = 0, nat = 4, ntyp = 3
/
ATOMIC_SPECIES
Cd 112.41 Cd.upf
Tc 98.00 Tc.upf
Hg 200.59 Hg.upf
ATOMIC_POSITIONS angstrom
Cd -1.076 5.542 1.597
Cd -1.614 8.313 2.395
Tc 0.000 0.000 0.000
Hg -0.538 2.771 0.798
CELL_PARAMETERS angstrom
-1.454 2.825 3.585
1.917 4.356 0.545
-2.616 3.902 -0.936


[4]
! TcAuO3 GGA-PBE optimized geometry; values from VASP
! Size of the total moment: 0.01 μB per atom
! VASP energy: -6.283 eV per atom
&SYSTEM
  ibrav = 0, nat = 10, ntyp = 3
/
ATOMIC_SPECIES
Tc 98.00 Tc.upf
O 16.00 O.upf
Au 196.97 Au.upf
ATOMIC_POSITIONS angstrom
Tc 0.000 0.000 -6.905
Tc 0.000 0.000 0.000
O 1.129 -1.142 -5.754
O 1.553 0.407 -8.056
O 0.424 1.549 -5.754
O -1.129 1.142 -8.056
O -1.553 -0.407 -5.754
O -0.424 -1.549 -8.056
Au 0.000 0.000 -10.358
Au 0.000 0.000 -3.453
CELL_PARAMETERS angstrom
2.682 -1.549 -4.603
-2.682 -1.549 -4.603
0.000 3.097 -4.603


[5]
! PuTcGe GGA-PBE optimized geometry; values from VASP
! Size of the total moment: 1.67 μB per atom
! E above lowest polymorph: 0.0 kJ/mol of formula units
&SYSTEM
  ibrav = 0, nat = 6, ntyp = 3
/
ATOMIC_SPECIES
Ge 72.64 Ge.upf
Tc 98.00 Tc.upf
Pu 244.00 Pu.upf
ATOMIC_POSITIONS angstrom
Ge 2.181 0.000 4.616
Ge 0.000 2.181 1.844
Tc 0.000 0.000 3.230
Tc 2.181 2.181 3.230
Pu 2.181 0.000 1.299
Pu 0.000 2.181 5.161
CELL_PARAMETERS angstrom
4.362 0.000 0.000
0.000 4.362 0.000
0.000 0.000 6.460


[6]
! TbGePt2 GGA-PBE optimized geometry; values from VASP
! Size of the total moment: 0.00 μB per atom
! VASP energy: -6.245 eV per atom
&SYSTEM
  ibrav = 0, nat = 8, ntyp = 3
/
ATOMIC_SPECIES
Pt 195.08 Pt.upf
Tb 158.93 Tb.upf
Ge 72.64 Ge.upf
ATOMIC_POSITIONS angstrom
Pt -3.891 -0.139 0.100
Pt -2.511 0.291 -5.333
Pt -2.438 1.568 -1.556
Pt -6.008 -1.302 -3.072
Tb -5.580 1.363 -1.751
Tb -3.069 -1.086 -2.818
Ge -0.876 -0.190 -0.447
Ge -5.128 0.320 -4.903
CELL_PARAMETERS angstrom
-0.175 3.945 -1.330
-1.855 -2.067 -5.886
-5.433 0.301 1.606


[7]
! Er2TmScIn2 GGA-PBE optimized geometry; values from VASP
! Size of the total moment: 0.12 μB per atom
! VASP energy: -4.587 eV per atom
&SYSTEM
  ibrav = 0, nat = 6, ntyp = 4
/
ATOMIC_SPECIES
Er 167.26 Er.upf
Sc 44.96 Sc.upf
In 114.82 In.upf
Tm 168.93 Tm.upf
ATOMIC_POSITIONS angstrom
Er -2.962 -0.312 1.768
Er -4.807 2.298 2.213
Sc -1.885 2.668 0.456
In -4.160 1.310 -1.007
In 0.000 0.000 0.000
Tm -2.275 -1.358 -1.462
CELL_PARAMETERS angstrom
-2.551 -1.041 -4.459
-1.724 -1.992 4.532
-3.770 5.335 0.911


[8]
! Cu2Ag3 GGA-PBE optimized geometry; values from VASP
! E above lowest polymorph: 29.2 kJ/mol of formula units
! E_form: 93 meV/atom
&SYSTEM
  ibrav = 0, nat = 10, ntyp = 2
/
ATOMIC_SPECIES
Ag 107.87 Ag.upf
Cu 63.55 Cu.upf
ATOMIC_POSITIONS angstrom
Ag 6.634 4.373 25.359
Ag 3.375 2.225 12.902
Ag 11.583 7.635 44.278
Ag 10.019 6.604 38.298
Ag 13.411 8.839 51.265
Ag 1.682 1.109 6.431
Cu 8.392 5.531 32.078
Cu 5.005 3.299 19.133
Cu 15.037 9.911 57.480
Cu 16.598 10.940 63.448
CELL_PARAMETERS angstrom
4.067 4.282 21.537
5.836 2.061 21.457
6.776 4.650 20.765